(1)
Computed, not measured: NdPd5Pt2 after structural relaxation at the GGA-PBE level of DFT.

Lattice parameters (Å, degrees): 6.5266 6.5266 6.5266 145.12 106.21 84.29
Last column: nearest neighbours and their distance in Å.
Atoms (fractional coordinates):
Nd  0.0000  0.0000  0.0000  4 Pt 2.92
Pd  0.1742  0.3551  0.8191  3 Pt 2.62-2.73, 4 Pd 2.79-2.84
Pd  0.4639  0.6449  0.8191  3 Pt 2.62-2.73, 4 Pd 2.79-2.84
Pd  0.5000  0.0000  0.5000  2 Pt 2.67, 8 Pd 2.79
Pd  0.5361  0.3551  0.1809  3 Pt 2.62-2.73, 4 Pd 2.79-2.84
Pd  0.8258  0.6449  0.1809  3 Pt 2.62-2.73, 4 Pd 2.79-2.84
Pt  0.2242  0.7242  0.5000  7 Pd 2.62-2.73, 2 Nd 2.92
Pt  0.7758  0.2758  0.5000  7 Pd 2.62-2.73, 2 Nd 2.92

Results
- Formation energy: -25.5 kJ/mol of atoms



(2)
Computed, not measured: NdPdPt after structural relaxation at the GGA-PBE level of DFT.

Lattice parameters (Å, degrees): 4.5003 4.5003 3.7978 90.00 90.00 120.00
Last column: nearest neighbours and their distance in Å.
Atoms (fractional coordinates):
Nd  0.0000  0.0000  0.0000  6 Pt 3.22, 6 Pd 3.22
Pd  0.3333  0.6667  0.5000  3 Pt 2.60
Pt  0.6667  0.3333  0.5000  3 Pd 2.60

Results
- Formation energy: -79.6 kJ/mol of atoms
- Offset from the most stable computed form: 91 meV per atom



(3)
Computed, not measured: Nd2PdPt9 after structural relaxation at the GGA-PBE level of DFT.

Lattice parameters (Å, degrees): 9.3760 9.3760 9.3760 33.63 33.63 33.63
Last column: nearest neighbours and their distance in Å.
Atoms (fractional coordinates):
Nd  0.1337  0.1337  0.1337  9 Pt 3.01-3.25
Nd  0.8663  0.8663  0.8663  9 Pt 3.01-3.25
Pd  0.0000  0.0000  0.0000  6 Pt 3.13
Pt  0.0804  0.5860  0.5860  7 Pt 2.68-2.75
Pt  0.3325  0.3325  0.3325  6 Pt 2.70-2.75
Pt  0.4140  0.4140  0.9196  7 Pt 2.68-2.75
Pt  0.4140  0.9196  0.4140  7 Pt 2.68-2.75
Pt  0.5000  0.5000  0.5000  6 Pt 2.70
Pt  0.5860  0.0804  0.5860  7 Pt 2.68-2.75
Pt  0.5860  0.5860  0.0804  7 Pt 2.68-2.75
Pt  0.6675  0.6675  0.6675  6 Pt 2.70-2.75
Pt  0.9196  0.4140  0.4140  7 Pt 2.68-2.75

Results
- Formation energy: -53.1 kJ/mol of atoms



(4)
Computed, not measured: Nd2Pd12Pt5 after structural relaxation at the GGA-PBE level of DFT.

Lattice parameters (Å, degrees): 6.9838 6.9838 6.9838 82.38 82.38 82.38
Last column: nearest neighbours and their distance in Å.
Atoms (fractional coordinates):
Nd  0.1691  0.1691  0.1691  1 Pt 3.08, 12 Pd 3.23-3.38
Nd  0.8309  0.8309  0.8309  1 Pt 3.08, 12 Pd 3.23-3.38
Pd  0.1496  0.1496  0.6570  6 Pd 2.65-2.84, 3 Pt 2.68-2.89
Pd  0.1496  0.6570  0.1496  6 Pd 2.65-2.84, 3 Pt 2.68-2.89
Pd  0.2000  0.5000  0.8000  2 Pt 2.67, 6 Pd 2.76-2.84
Pd  0.2000  0.8000  0.5000  2 Pt 2.67, 6 Pd 2.76-2.84
Pd  0.3430  0.8504  0.8504  6 Pd 2.65-2.84, 3 Pt 2.68-2.89
Pd  0.5000  0.2000  0.8000  2 Pt 2.67, 6 Pd 2.76-2.84
Pd  0.5000  0.8000  0.2000  2 Pt 2.67, 6 Pd 2.76-2.84
Pd  0.6570  0.1496  0.1496  6 Pd 2.65-2.84, 3 Pt 2.68-2.89
Pd  0.8000  0.2000  0.5000  2 Pt 2.67, 6 Pd 2.76-2.84
Pd  0.8000  0.5000  0.2000  2 Pt 2.67, 6 Pd 2.76-2.84
Pd  0.8504  0.3430  0.8504  6 Pd 2.65-2.84, 3 Pt 2.68-2.89
Pd  0.8504  0.8504  0.3430  6 Pd 2.65-2.84, 3 Pt 2.68-2.89
Pt  0.0000  0.5000  0.5000  8 Pd 2.67-2.68, 2 Pt 2.79
Pt  0.3957  0.3957  0.3957  4 Pt 2.79-2.84, 9 Pd 2.89-3.10, 1 Nd 3.08
Pt  0.5000  0.0000  0.5000  8 Pd 2.67-2.68, 2 Pt 2.79
Pt  0.5000  0.5000  0.0000  8 Pd 2.67-2.68, 2 Pt 2.79
Pt  0.6043  0.6043  0.6043  4 Pt 2.79-2.84, 9 Pd 2.89-3.10, 1 Nd 3.08

Results
- Formation energy: -33.7 kJ/mol of atoms



Number 1: Fermi-level density of states 1.54 states/eV per atom. Number 2: Fermi-level density of states 0.91 states/eV per atom. Number 3: Fermi-level density of states 0.69 states/eV per atom. Number 4: Fermi-level density of states 1.04 states/eV per atom.